[1]
# LiCdPt2

LiCdPt2 after structural relaxation (PBE, Alexandria).

Properties
M_tot = 0.00 μB per atom
VASP energy = -4.08 eV per atom

Unit cell a=5.344 b=5.344 c=2.809 alpha=77.17 beta=77.17 gamma=117.19
Sites, in units of the cell vectors:
1 Li 0.000 0.500 0.500
2 Cd 0.500 0.000 0.500
3 Pt 0.500 0.500 0.000
4 Pt 0.000 0.000 0.000

---

[2]
# LiTi2NbTl

LiTi2NbTl after structural relaxation (PBE, Alexandria).

Properties
M_tot = 0.50 μB per atom
VASP energy = -4.51 eV per atom

Unit cell a=5.192 b=5.326 c=5.192 alpha=90.00 beta=90.00 gamma=90.00
Last column: magnetic moment on the atom in μB.
Sites, in units of the cell vectors:
1 Li 0.500 0.500 0.500  0.01
2 Ti 0.500 0.000 0.000  1.57
3 Tl 0.000 0.000 0.000  0.05
4 Ti 0.000 0.000 0.500  1.42
5 Nb 0.000 0.500 0.000  -1.33

---

[3]
# Sr2CaInNi

Sr2CaInNi after structural relaxation (PBE, Alexandria).

Properties
M_tot = 0.00 μB per atom
VASP energy = -2.87 eV per atom

Unit cell a=5.785 b=5.785 c=5.096 alpha=90.00 beta=90.00 gamma=90.00
Sites, in units of the cell vectors:
1 In 0.000 0.000 0.500
2 Ni 0.000 0.000 0.000
3 Ca 0.500 0.500 0.500
4 Sr 0.500 0.000 0.000
5 Sr 0.000 0.500 0.000

---

[4]
# AcTb3Y6Ho2

AcTb3Y6Ho2 after structural relaxation (PBE, Alexandria).

Properties
M_tot = 0.00 μB per atom
VASP energy = -5.47 eV per atom

Unit cell a=6.226 b=6.226 c=11.904 alpha=94.98 beta=94.98 gamma=119.96
Sites, in units of the cell vectors:
1 Tb 0.833 0.167 0.500
2 Tb 0.167 0.833 0.500
3 Tb 0.500 0.500 0.500
4 Y 0.579 0.915 0.747
5 Y 0.421 0.085 0.253
6 Y 0.748 0.748 0.254
7 Y 0.915 0.579 0.747
8 Y 0.252 0.252 0.746
9 Ho 0.667 0.333 0.000
10 Ac 0.000 0.000 0.000
11 Ho 0.333 0.667 0.000
12 Y 0.085 0.421 0.253

---

[5]
# RbTh2SbO8

RbTh2SbO8 after structural relaxation (PBE, Alexandria).

Properties
M_tot = 0.00 μB per atom
VASP energy = -7.35 eV per atom
Formation energy without anion corrections = -2.383 eV per atom

Unit cell a=4.865 b=4.892 c=8.321 alpha=87.86 beta=87.84 gamma=91.52
Sites, in units of the cell vectors:
1 Th 0.464 0.465 0.784
2 Rb 0.000 0.000 0.500
3 O 0.296 0.291 0.024
4 O 0.149 0.767 0.183
5 O 0.609 0.611 0.503
6 Th 0.536 0.535 0.216
7 O 0.851 0.233 0.817
8 O 0.391 0.389 0.497
9 Sb 0.000 0.000 0.000
10 O 0.229 0.848 0.817
11 O 0.771 0.152 0.183
12 O 0.704 0.709 0.976

---

[6]
# Tb8PmEr4

Tb8PmEr4 after structural relaxation (PBE, Alexandria).

Properties
M_tot = 0.00 μB per atom
VASP energy = -4.42 eV per atom

Unit cell a=7.271 b=7.271 c=10.005 alpha=90.00 beta=111.31 gamma=120.00
Sites, in units of the cell vectors:
1 Tb 0.435 0.218 0.653
2 Tb 0.499 0.250 0.302
3 Er 0.500 0.500 0.000
4 Er 0.000 0.500 0.000
5 Tb 0.501 0.750 0.698
6 Tb 0.052 0.250 0.302
7 Tb 0.948 0.750 0.698
8 Pm 0.000 0.500 0.500
9 Er 0.500 0.000 0.000
10 Tb 0.052 0.803 0.302
11 Tb 0.948 0.197 0.698
12 Tb 0.565 0.782 0.347
13 Er 0.000 0.000 0.000